[1]
CaTa: relaxed, GGA-PBEsol.

Properties
The value obtained for the energy relative to the elements is 0.840 eV/atom. As for the crystal system: tetragonal. As for the distance to the lowest polymorph of the same formula: 0.00 kcal/mol of atoms.

```
2
Lattice="2.867 0.000 0.000 0.000 2.867 0.000 0.000 0.000 5.370" Properties=species:S:1:pos:R:3 pbc="T T T"
Ca 0.000 0.000 0.000
Ta 1.433 1.433 2.685
```

---

[2]
Ba3Y2Br12: relaxed, GGA-PBEsol.

Properties
The uncorrected formation energy comes out at -1.98 eV per atom. As for the crystal system: monoclinic.

```
34
Lattice="5.461 -7.776 0.000 5.461 7.776 0.000 -4.957 0.000 14.241" Properties=species:S:1:pos:R:3 pbc="T T T"
Ba 1.743 5.790 10.681
Ba -0.961 1.833 13.388
Ba 1.518 -1.833 6.268
Ba 4.448 1.833 7.973
Ba 6.926 -1.833 0.853
Ba 4.222 -5.790 3.560
Y -0.764 2.213 8.509
Y 1.715 -2.213 1.389
Y 4.251 2.213 12.852
Y 6.730 -2.213 5.732
Br -0.875 3.948 10.735
Br -0.926 0.479 6.371
Br 4.418 4.635 1.143
Br -3.405 -0.479 13.492
Br -1.540 0.417 10.460
Br 1.609 3.699 8.070
Br 0.938 -0.417 3.340
Br 4.027 4.635 5.978
Br 1.878 3.699 13.292
Br 1.649 0.331 8.737
Br 4.128 -0.331 1.617
Br 4.362 3.948 10.626
Br 1.604 -3.948 3.615
Br 1.838 0.331 12.624
Br 4.316 -0.331 5.504
Br 4.087 -3.699 0.949
Br 1.939 -4.635 8.263
Br 5.027 0.417 10.901
Br 4.357 -3.699 6.171
Br 7.506 -0.417 3.781
Br 9.370 0.479 0.749
Br 1.548 -4.635 13.098
Br 6.891 -0.479 7.869
Br 6.840 -3.948 3.506
```

---

[3]
K4Hg: relaxed, GGA-PBEsol.

Properties
The value obtained for the energy relative to the elements is -0.071 eV/atom. As for the crystal system: tetragonal. As for the distance to the lowest polymorph of the same formula: 0.00 kcal/mol of atoms.

```
5
Lattice="-5.537 5.537 2.162 5.537 -5.537 2.162 5.537 5.537 -2.162" Properties=species:S:1:pos:R:3 pbc="T T T"
K 2.809 0.739 0.000
K 4.798 -2.728 2.162
K 0.739 8.265 0.000
K 2.728 4.798 2.162
Hg 0.000 0.000 2.162
```

---

[4]
CsBa2AsI: relaxed, GGA-PBEsol.

Properties
The uncorrected formation energy comes out at 0.44 eV per atom. As for the crystal system: tetragonal.

```
5
Lattice="6.627 0.000 0.000 0.000 6.627 0.000 0.000 0.000 6.125" Properties=species:S:1:pos:R:3 pbc="T T T"
Cs 0.000 0.000 0.000
Ba 0.000 3.314 0.000
Ba 3.314 0.000 0.000
As 3.314 3.314 3.062
I 0.000 0.000 3.062
```